No. 1
Density functional theory data (meta-GGA SCAN) for La2SCl at its PBEsol-relaxed geometry.

Lattice parameters (Å, degrees): 6.4717 6.4717 7.9022 114.17 114.17 90.00
Last column: nearest neighbours and their distance in Å.
Fractional coordinates of all 8 atoms:
La (0.8611, 0.3750, 0.2500)  2 S 2.75, 2 Cl 2.85
La (0.3889, 0.8750, 0.2500)  2 S 2.75, 2 Cl 2.85
La (0.1250, 0.1389, 0.7500)  2 S 2.75, 2 Cl 2.85
La (0.6250, 0.6111, 0.7500)  2 S 2.75, 2 Cl 2.85
Cl (0.2500, 0.7500, 0.5000)  4 La 2.85
Cl (0.0000, 0.0000, 0.0000)  4 La 2.85
S (0.5000, 0.5000, 0.0000)  4 La 2.75
S (0.7500, 0.2500, 0.5000)  4 La 2.75

Calculated values
Total DFT energy (no corrections) ... -220.6 eV for the cell shown

=====

No. 2
Density functional theory data (meta-GGA SCAN) for Cr2RuCl at its PBEsol-relaxed geometry.

Lattice parameters (Å, degrees): 2.7967 3.9722 4.9711 92.45 106.34 90.00
Last column: nearest neighbours and their distance in Å.
Fractional coordinates of all 4 atoms:
Ru (0.5350, 0.5470, 0.0701)  4 Cr 2.40-2.66, 1 Cl 2.41
Cl (0.7468, 0.2396, 0.4936)  5 Cr 2.25-2.49, 1 Ru 2.41
Cr (0.9543, 0.9900, 0.9087)  1 Cl 2.25, 2 Ru 2.40, 2 Cr 2.49
Cr (0.2639, 0.7234, 0.5277)  4 Cl 2.38-2.49, 2 Cr 2.49, 2 Ru 2.66

Calculated values
E above lowest polymorph ... 0 meV/atom

=====

No. 3
Density functional theory data (meta-GGA SCAN) for Ti2Be2Hg at its PBEsol-relaxed geometry.

Lattice parameters (Å, degrees): 3.6259 6.1147 6.1147 90.00 90.00 90.00
Last column: nearest neighbours and their distance in Å.
Fractional coordinates of all 10 atoms:
Be (0.0000, 0.8760, 0.6240)  1 Be 2.14
Be (0.0000, 0.1240, 0.3760)  1 Be 2.14
Be (0.0000, 0.6240, 0.1240)  1 Be 2.14
Be (0.0000, 0.3760, 0.8760)  1 Be 2.14
Ti (0.5000, 0.3350, 0.1650)  6 Be 2.54-2.57
Ti (0.5000, 0.1650, 0.6650)  6 Be 2.54-2.57
Ti (0.5000, 0.6650, 0.8350)  6 Be 2.54-2.57
Ti (0.5000, 0.8350, 0.3350)  6 Be 2.54-2.57
Hg (0.0000, 0.5000, 0.5000)  4 Be 2.42
Hg (0.0000, 0.0000, 0.0000)  4 Be 2.42

Calculated values
Total DFT energy (no corrections) ... -220.7 eV for the cell shown

=====

No. 4
Density functional theory data (meta-GGA SCAN) for LiCoPO4 at its PBEsol-relaxed geometry.

Lattice parameters (Å, degrees): 5.7641 6.3090 9.1663 76.67 87.07 81.13
Last column: nearest neighbours and their distance in Å.
Fractional coordinates of all 28 atoms:
P (0.2839, 0.8304, 0.0048)  4 O 1.54-1.56
P (0.1578, 0.7086, 0.6179)  4 O 1.54-1.57
P (0.7161, 0.1696, 0.9952)  4 O 1.54-1.56
P (0.8422, 0.2914, 0.3821)  4 O 1.54-1.57
O (0.2833, 0.8586, 0.1680)  1 P 1.55
O (0.8034, 0.9491, 0.1057)  1 P 1.55
O (0.1628, 0.7018, 0.4501)  1 P 1.55
O (0.8773, 0.3435, 0.0041)  1 P 1.56
O (0.5310, 0.7395, 0.9548)  1 P 1.54
O (0.7361, 0.5272, 0.2942)  1 P 1.57
O (0.2639, 0.4728, 0.7058)  1 P 1.57
O (0.8372, 0.2982, 0.5499)  1 P 1.55
O (0.0906, 0.2132, 0.3260)  1 P 1.54
O (0.3115, 0.8799, 0.6435)  1 P 1.56
O (0.6885, 0.1201, 0.3565)  1 P 1.56
O (0.7167, 0.1414, 0.8320)  1 P 1.55
O (0.4690, 0.2605, 0.0452)  1 P 1.54
O (0.1966, 0.0509, 0.8943)  1 P 1.55
O (0.9094, 0.7868, 0.6740)  1 P 1.54
O (0.1227, 0.6565, 0.9959)  1 P 1.56
Li (0.5920, 0.3788, 0.6788)  3 O 1.88-1.91
Li (0.3969, 0.1133, 0.2513)  4 O 1.93-2.13
Li (0.6031, 0.8867, 0.7487)  4 O 1.93-2.13
Li (0.4080, 0.6212, 0.3212)  3 O 1.88-1.91
Co (0.1913, 0.3738, 0.9232)  5 O 1.94-2.11
Co (0.8087, 0.6262, 0.0768)  5 O 1.94-2.11
Co (0.9682, 0.9232, 0.2943)  5 O 1.98-2.14
Co (0.0318, 0.0768, 0.7057)  5 O 1.98-2.14

Calculated values
E above lowest polymorph ... 69 meV/atom

=====

No. 5
Density functional theory data (meta-GGA SCAN) for MgOsO2F at its PBEsol-relaxed geometry.

Lattice parameters (Å, degrees): 3.6514 3.6514 6.1779 90.00 90.00 90.00
Last column: nearest neighbours and their distance in Å.
Fractional coordinates of all 5 atoms:
O (0.5000, 0.0000, 0.0000)  2 Os 1.83
O (0.0000, 0.5000, 0.0000)  2 Os 1.83
Mg (0.5000, 0.5000, 0.5000)  4 F 2.58
F (0.0000, 0.0000, 0.5000)  4 Mg 2.58
Os (0.0000, 0.0000, 0.0000)  4 O 1.83

Calculated values
Total DFT energy (no corrections) ... -98.0 eV for the cell shown

=====

No. 6
Density functional theory data (meta-GGA SCAN) for Ba2Li2As at its PBEsol-relaxed geometry.

Lattice parameters (Å, degrees): 5.7898 8.5497 8.5497 90.00 90.00 90.00
Last column: nearest neighbours and their distance in Å.
Fractional coordinates of all 10 atoms:
Ba (0.0000, 0.1738, 0.3262)  2 As 3.16
Ba (0.0000, 0.8262, 0.6738)  2 As 3.16
Ba (0.0000, 0.6738, 0.1738)  2 As 3.16
Ba (0.0000, 0.3262, 0.8262)  2 As 3.16
Li (0.5000, 0.3708, 0.1292)  1 Li 3.12
Li (0.5000, 0.8708, 0.3708)  1 Li 3.12
Li (0.5000, 0.1292, 0.6292)  1 Li 3.12
Li (0.5000, 0.6292, 0.8708)  1 Li 3.12
As (0.0000, 0.0000, 0.0000)  4 Ba 3.16
As (0.0000, 0.5000, 0.5000)  4 Ba 3.16

Calculated values
E above lowest polymorph ... 398 meV/atom

=====

No. 7
Density functional theory data (meta-GGA SCAN) for ZnInS3 at its PBEsol-relaxed geometry.

Lattice parameters (Å, degrees): 4.6327 4.6327 4.6327 90.00 90.00 90.00
Last column: nearest neighbours and their distance in Å.
Fractional coordinates of all 5 atoms:
Zn (0.0000, 0.0000, 0.0000)  6 S 2.32
S (0.5000, 0.0000, 0.0000)  2 Zn 2.32
S (0.0000, 0.5000, 0.0000)  2 Zn 2.32
S (0.0000, 0.0000, 0.5000)  2 Zn 2.32
In (0.5000, 0.5000, 0.5000)  12 S 3.28

Calculated values
Total DFT energy (no corrections) ... -74.5 eV for the cell shown

=====

No. 8
Density functional theory data (meta-GGA SCAN) for CdHg at its PBEsol-relaxed geometry.

Lattice parameters (Å, degrees): 4.6771 5.9497 6.3086 90.00 90.00 90.00
Last column: nearest neighbours and their distance in Å.
Fractional coordinates of all 8 atoms:
Cd (0.2500, 0.1335, 0.0818)  7 Hg 2.95-3.31, 2 Cd 3.01
Cd (0.2500, 0.3665, 0.5818)  7 Hg 2.95-3.31, 2 Cd 3.01
Cd (0.7500, 0.6335, 0.4182)  7 Hg 2.95-3.31, 2 Cd 3.01
Cd (0.7500, 0.8665, 0.9182)  7 Hg 2.95-3.31, 2 Cd 3.01
Hg (0.7500, 0.1284, 0.3805)  7 Cd 2.95-3.31, 2 Hg 3.17
Hg (0.7500, 0.3716, 0.8805)  7 Cd 2.95-3.31, 2 Hg 3.17
Hg (0.2500, 0.6284, 0.1195)  7 Cd 2.95-3.31, 2 Hg 3.17
Hg (0.2500, 0.8716, 0.6195)  7 Cd 2.95-3.31, 2 Hg 3.17

Calculated values
Total DFT energy (no corrections) ... -394.3 eV for the cell shown

=====

No. 9
Density functional theory data (meta-GGA SCAN) for OsAuBr2 at its PBEsol-relaxed geometry.

Lattice parameters (Å, degrees): 3.5748 3.5748 8.2320 77.46 77.46 60.00
Last column: nearest neighbours and their distance in Å.
Fractional coordinates of all 4 atoms:
Br (0.7752, 0.7752, 0.6744)  3 Os 2.49
Br (0.2248, 0.2248, 0.3256)  3 Os 2.49
Au (0.0000, 0.0000, 0.0000)  6 Br 3.32, 6 Au 3.57
Os (0.5000, 0.5000, 0.5000)  6 Br 2.49

Calculated values
E above lowest polymorph ... 0 meV/atom

=====

No. 10
Density functional theory data (meta-GGA SCAN) for Sc2AlIr at its PBEsol-relaxed geometry.

Lattice parameters (Å, degrees): 4.5367 4.5367 4.5367 60.00 60.00 60.00
Last column: nearest neighbours and their distance in Å.
Fractional coordinates of all 4 atoms:
Ir (0.2500, 0.2500, 0.2500)  4 Al 2.78, 4 Sc 2.78
Sc (0.0000, 0.0000, 0.0000)  4 Ir 2.78, 4 Sc 2.78
Sc (0.7500, 0.7500, 0.7500)  4 Al 2.78, 4 Sc 2.78
Al (0.5000, 0.5000, 0.5000)  4 Sc 2.78, 4 Ir 2.78

Calculated values
E above lowest polymorph ... 4 meV/atom

=====

No. 11
Density functional theory data (meta-GGA SCAN) for ZnCd3 at its PBEsol-relaxed geometry.

Lattice parameters (Å, degrees): 5.2741 7.5286 7.9938 90.00 90.00 90.00
Last column: nearest neighbours and their distance in Å.
Fractional coordinates of all 16 atoms:
Cd (0.5619, 0.8091, 0.9358)  3 Zn 2.68-2.79, 3 Cd 2.97
Cd (0.0619, 0.6909, 0.4358)  3 Zn 2.68-2.79, 3 Cd 2.97
Cd (0.4381, 0.1909, 0.0642)  3 Zn 2.68-2.79, 3 Cd 2.97
Cd (0.4381, 0.1909, 0.4358)  3 Zn 2.68-2.79, 3 Cd 2.97
Cd (0.0877, 0.9711, 0.7500)  3 Zn 2.78-2.89, 2 Cd 3.05
Cd (0.9123, 0.0289, 0.2500)  3 Zn 2.78-2.89, 2 Cd 3.05
Cd (0.0619, 0.6909, 0.0642)  3 Zn 2.68-2.79, 3 Cd 2.97
Cd (0.5877, 0.5289, 0.2500)  3 Zn 2.78-2.89, 2 Cd 3.05
Cd (0.5619, 0.8091, 0.5642)  3 Zn 2.68-2.79, 3 Cd 2.97
Cd (0.9381, 0.3091, 0.5642)  3 Zn 2.68-2.79, 3 Cd 2.97
Cd (0.4123, 0.4711, 0.7500)  3 Zn 2.78-2.89, 2 Cd 3.05
Cd (0.9381, 0.3091, 0.9358)  3 Zn 2.68-2.79, 3 Cd 2.97
Zn (0.4155, 0.8779, 0.2500)  9 Cd 2.68-2.89
Zn (0.5845, 0.1221, 0.7500)  9 Cd 2.68-2.89
Zn (0.9155, 0.6221, 0.7500)  9 Cd 2.68-2.89
Zn (0.0845, 0.3779, 0.2500)  9 Cd 2.68-2.89

Calculated values
Total DFT energy (no corrections) ... -418.3 eV for the cell shown

=====

No. 12
Density functional theory data (meta-GGA SCAN) for TlReOs2F at its PBEsol-relaxed geometry.

Lattice parameters (Å, degrees): 4.0562 4.9342 4.9342 90.00 90.00 90.00
Last column: nearest neighbours and their distance in Å.
Fractional coordinates of all 5 atoms:
Tl (0.0000, 0.0000, 0.0000)  2 F 2.03
Os (0.0000, 0.0000, 0.5000)  2 Tl 2.47
Os (0.0000, 0.5000, 0.0000)  2 Tl 2.47
Re (0.5000, 0.5000, 0.5000)  8 Os 3.19, 4 F 3.49
F (0.5000, 0.0000, 0.0000)  2 Tl 2.03

Calculated values
Total DFT energy (no corrections) ... -278.1 eV for the cell shown

=====

No. 13
Density functional theory data (meta-GGA SCAN) for Li4Ti3Nb2Fe3O16 at its PBEsol-relaxed geometry.

Lattice parameters (Å, degrees): 5.8517 5.7879 9.7624 89.84 90.00 120.37
Last column: nearest neighbours and their distance in Å.
Fractional coordinates of all 28 atoms:
Fe (0.1835, 0.3670, 0.7891)  6 O 1.94-1.98
Fe (0.3522, 0.1631, 0.2856)  6 O 1.97-2.16
Fe (0.8109, 0.1631, 0.2856)  6 O 1.97-2.16
Li (0.0102, 0.0203, 0.0103)  4 O 1.83-2.02
Li (0.3248, 0.6496, 0.0981)  4 O 1.90-1.93
Li (0.6625, 0.3251, 0.5960)  4 O 1.93-1.97
Li (0.9993, 0.9986, 0.5104)  4 O 1.84-1.95
O (0.3342, 0.1874, 0.8980)  1 Li 1.97, 1 Nb 1.97, 1 Fe 1.98, 1 Ti 2.19
O (0.1580, 0.8231, 0.4104)  1 Nb 1.93, 1 Li 1.95, 1 Fe 2.09, 1 Ti 2.14
O (0.6651, 0.8231, 0.4104)  1 Nb 1.93, 1 Li 1.95, 1 Fe 2.09, 1 Ti 2.14
O (0.3433, 0.6866, 0.9014)  1 Li 1.93, 1 Fe 1.94, 2 Ti 1.95
O (0.4843, 0.5146, 0.6619)  1 Ti 1.90, 1 Fe 1.96, 1 Li 1.97
O (0.6745, 0.3490, 0.3986)  1 Li 1.93, 1 Ti 1.95, 2 Fe 1.97
O (0.4803, 0.9607, 0.6678)  1 Li 1.95, 2 Ti 1.97
O (0.8392, 0.6784, 0.9006)  2 Ti 2.00, 1 Li 2.02, 1 Nb 2.14
O (0.0074, 0.0149, 0.6987)  1 Li 1.84, 1 Fe 1.97, 2 Ti 1.97
O (0.5093, 0.0185, 0.1432)  1 Li 1.90, 1 Nb 1.94, 2 Fe 2.06
O (0.0005, 0.0011, 0.1971)  1 Li 1.83, 1 Ti 1.89, 2 Fe 1.98
O (0.5281, 0.4931, 0.1528)  1 Li 1.90, 1 Ti 1.92, 1 Fe 2.09, 1 Nb 2.11
O (0.9650, 0.4931, 0.1528)  1 Li 1.90, 1 Ti 1.92, 1 Fe 2.09, 1 Nb 2.11
O (0.0303, 0.5146, 0.6619)  1 Ti 1.90, 1 Fe 1.96, 1 Li 1.97
O (0.8532, 0.1874, 0.8980)  1 Li 1.97, 1 Nb 1.97, 1 Fe 1.98, 1 Ti 2.19
O (0.1630, 0.3260, 0.4110)  1 Nb 1.87, 1 Li 1.90
Ti (0.8268, 0.6536, 0.2740)  4 O 1.89-1.95
Ti (0.6521, 0.8123, 0.7826)  5 O 1.90-2.00
Ti (0.1603, 0.8123, 0.7826)  5 O 1.90-2.00
Nb (0.3268, 0.6536, 0.5026)  3 O 1.87-1.93
Nb (0.6537, 0.3074, 0.0105)  6 O 1.94-2.14

Calculated values
Total DFT energy (no corrections) ... -349.5 eV for the cell shown

=====

No. 14
Density functional theory data (meta-GGA SCAN) for La2TaMo at its PBEsol-relaxed geometry.

Lattice parameters (Å, degrees): 5.0614 5.0614 5.0614 60.00 60.00 60.00
Last column: nearest neighbours and their distance in Å.
Fractional coordinates of all 4 atoms:
Mo (0.0000, 0.0000, 0.0000)  8 La 3.10
La (0.2500, 0.2500, 0.2500)  4 Ta 3.10, 4 Mo 3.10
La (0.7500, 0.7500, 0.7500)  4 Ta 3.10, 4 Mo 3.10
Ta (0.5000, 0.5000, 0.5000)  8 La 3.10

Calculated values
Total DFT energy (no corrections) ... -184.1 eV for the cell shown

=====

No. 15
Density functional theory data (meta-GGA SCAN) for BSbAuI2 at its PBEsol-relaxed geometry.

Lattice parameters (Å, degrees): 5.2678 5.5608 5.5608 90.00 90.00 90.00
Last column: nearest neighbours and their distance in Å.
Fractional coordinates of all 5 atoms:
Au (0.0000, 0.0000, 0.0000)  2 Sb 2.63, 4 I 2.78
Sb (0.5000, 0.0000, 0.0000)  2 Au 2.63
B (0.5000, 0.5000, 0.5000)  8 I 3.83, 4 Sb 3.93
I (0.0000, 0.5000, 0.0000)  2 Au 2.78
I (0.0000, 0.0000, 0.5000)  2 Au 2.78

Calculated values
Total DFT energy (no corrections) ... -180.8 eV for the cell shown

=====

No. 16
Density functional theory data (meta-GGA SCAN) for AlCrSi3 at its PBEsol-relaxed geometry.

Lattice parameters (Å, degrees): 4.4425 4.4425 4.4425 90.00 90.00 90.00
Last column: nearest neighbours and their distance in Å.
Fractional coordinates of all 5 atoms:
Si (0.5000, 0.0000, 0.0000)  2 Cr 2.22
Si (0.0000, 0.0000, 0.5000)  2 Cr 2.22
Si (0.0000, 0.5000, 0.0000)  2 Cr 2.22
Cr (0.0000, 0.0000, 0.0000)  6 Si 2.22
Al (0.5000, 0.5000, 0.5000)  12 Si 3.14

Calculated values
Total DFT energy (no corrections) ... -53.3 eV for the cell shown

=====

No. 17
Density functional theory data (meta-GGA SCAN) for LiMoRu3 at its PBEsol-relaxed geometry.

Lattice parameters (Å, degrees): 4.5993 4.5993 4.5993 90.00 90.00 90.00
Last column: nearest neighbours and their distance in Å.
Fractional coordinates of all 5 atoms:
Li (0.5000, 0.5000, 0.5000)  12 Ru 3.25
Ru (0.0000, 0.0000, 0.5000)  2 Mo 2.30
Ru (0.5000, 0.0000, 0.0000)  2 Mo 2.30
Ru (0.0000, 0.5000, 0.0000)  2 Mo 2.30
Mo (0.0000, 0.0000, 0.0000)  6 Ru 2.30

Calculated values
Total DFT energy (no corrections) ... -134.5 eV for the cell shown

=====

No. 18
Density functional theory data (meta-GGA SCAN) for TaMoN2O at its PBEsol-relaxed geometry.

Lattice parameters (Å, degrees): 3.8075 4.0537 4.0537 90.00 90.00 90.00
Last column: nearest neighbours and their distance in Å.
Fractional coordinates of all 5 atoms:
Mo (0.5000, 0.5000, 0.5000)  8 N 2.78, 4 O 2.87
Ta (0.0000, 0.0000, 0.0000)  2 O 1.90, 4 N 2.03
O (0.5000, 0.0000, 0.0000)  2 Ta 1.90
N (0.0000, 0.5000, 0.0000)  2 Ta 2.03
N (0.0000, 0.0000, 0.5000)  2 Ta 2.03

Calculated values
Total DFT energy (no corrections) ... -127.8 eV for the cell shown

=====

No. 19
Density functional theory data (meta-GGA SCAN) for Li2MgTl at its PBEsol-relaxed geometry.

Lattice parameters (Å, degrees): 3.4038 3.6068 6.5397 90.00 90.00 90.00
Last column: nearest neighbours and their distance in Å.
Fractional coordinates of all 4 atoms:
Mg (0.0000, 0.0000, 0.4905)  6 Li 2.98-3.33, 4 Tl 3.09
Tl (0.5000, 0.5000, 0.7724)  5 Li 2.89-3.04, 4 Mg 3.09
Li (0.5000, 0.5000, 0.2370)  4 Li 2.92, 4 Mg 2.98, 1 Tl 3.04
Li (0.0000, 0.0000, 0.0001)  4 Tl 2.89, 4 Li 2.92, 1 Mg 3.21

Calculated values
Total DFT energy (no corrections) ... -83.0 eV for the cell shown

=====

No. 20
Density functional theory data (meta-GGA SCAN) for ZrInMo2 at its PBEsol-relaxed geometry.

Lattice parameters (Å, degrees): 2.7571 4.4708 5.8504 90.00 90.00 90.00
Last column: nearest neighbours and their distance in Å.
Fractional coordinates of all 4 atoms:
Zr (0.5000, 0.5000, 0.0000)  2 Zr 2.76, 2 In 2.93, 8 Mo 3.06
In (0.5000, 0.5000, 0.5000)  2 In 2.76, 2 Zr 2.93, 8 Mo 2.95
Mo (0.0000, 0.0000, 0.7314)  3 Mo 2.71-2.76, 4 In 2.95
Mo (0.0000, 0.0000, 0.2686)  3 Mo 2.71-2.76, 4 In 2.95

Calculated values
Total DFT energy (no corrections) ... -132.6 eV for the cell shown